Material: Pr2Y6Er3
Method: DFT, GGA-PBE
State: optimized geometry

As for the offset from the most stable computed form: 2.239 kcal/mol of atoms. The calculation puts the formation enthalpy at 0 K at 0.2824 eV/atom.

The space group is I4/mmm (No. 139) and the conventional cell measures 4.746, 4.746 and 33.586 Å, with angles of 90.00, 90.00 and 90.00 degrees. Symmetry generates all atoms from Pr at (0.000, 0.000, 0.046), Y at (0.000, 0.000, 0.199), Y at (0.000, 0.500, 0.122), Er at (0.000, 0.000, 0.301) and Er at (0.000, 0.000, 0.500).